Record 1
{
  "formula": "Ba8Sn2H3",
  "functional": "PBE",
  "state": "optimized geometry",
  "lattice_angstrom": [[6.373, 0.000, -0.351], [0.000, 11.283, 0.000], [-2.849, -5.642, 7.555]],
  "species": ["Sn", "Sn", "H", "H", "H", "Ba", "Ba", "Ba", "Ba", "Ba", "Ba", "Ba", "Ba"],
  "frac_coords": [[0.476, 0.713, 0.425], [0.524, 0.287, 0.575], [0.000, 0.656, 0.000], [0.000, 0.344, 0.000], [0.500, 0.000, 0.000], [0.347, 0.888, 0.214], [0.118, 0.844, 0.688], [0.882, 0.156, 0.312], [0.852, 0.584, 0.167], [0.653, 0.675, 0.786], [0.653, 0.112, 0.786], [0.148, 0.416, 0.833], [0.347, 0.325, 0.214]],
  "total_energy_ev_per_atom": -2.92,
  "dos_at_fermi_per_ev_atom": 0.657,
  "crystal_system": "monoclinic"
}

---

Record 2
{
  "formula": "YErCd",
  "functional": "PBE",
  "state": "optimized geometry",
  "lattice_angstrom": [[4.759, 0.000, 0.000], [0.000, 4.759, 0.000], [0.000, 0.000, 7.735]],
  "species": ["Cd", "Cd", "Er", "Er", "Y", "Y"],
  "frac_coords": [[0.000, 0.500, 0.242], [0.500, 0.000, 0.758], [0.000, 0.000, 0.500], [0.500, 0.500, 0.500], [0.500, 0.000, 0.145], [0.000, 0.500, 0.855]],
  "total_energy_ev_per_atom": -4.10,
  "formation_energy_mev_per_atom": -117,
  "dos_at_fermi_per_ev_atom": 0.725,
  "relative_energy_mev_per_atom": 86,
  "crystal_system": "tetragonal"
}